## Ba2Hg (SCAN)

Data for a crystal of Ba2Hg relaxed with PBEsol.

a = 7.9303 Å, b = 7.9303 Å, c = 9.9007 Å
α = 123.53°, β = 123.53°, γ = 31.71°
Closest atoms and distances in Å follow each position.
Fractional coordinates of all 6 atoms:
Ba  0.0874  0.0874  0.3998  4 Hg 3.41-3.53
Ba  0.3340  0.3340  0.9258  3 Hg 3.44
Ba  0.6660  0.6660  0.0742  3 Hg 3.44
Ba  0.9126  0.9126  0.6002  4 Hg 3.41-3.53
Hg  0.3772  0.3772  0.3070  7 Ba 3.41-3.53, 1 Hg 3.49
Hg  0.6228  0.6228  0.6930  7 Ba 3.41-3.53, 1 Hg 3.49

Properties
DOS at the Fermi energy: 5.26 states/eV per cell
DFT formation energy: -0.46 eV per atom